(1)
ZnOs2Pb | GGA-PBE | optimized geometry

CIF file:
```
data_ZnOs2Pb
_cell_length_a 5.783
_cell_length_b 9.083
_cell_length_c 2.956
_cell_angle_alpha 90.00
_cell_angle_beta 119.16
_cell_angle_gamma 90.00
_symmetry_space_group_name_H-M 'C 1 2/m 1'
_symmetry_Int_Tables_number 12
_symmetry_space_group_name_Hall '-C 2y'
loop_
_atom_site_label
_atom_site_fract_x
_atom_site_fract_y
_atom_site_fract_z
Zn1 0.000 0.000 0.000
Os1 0.250 0.250 0.500
Pb1 0.000 0.500 0.000
```

Output
Formation enthalpy at 0 K = 0.875 eV/atom
Magnetic moment = 0.000 μB per cell
Energy = -5.99 eV per atom



(2)
ZnOs2Pb | GGA-PBE | optimized geometry

CIF file:
```
data_ZnOs2Pb
_cell_length_a 2.939
_cell_length_b 2.924
_cell_length_c 16.989
_cell_angle_alpha 90.00
_cell_angle_beta 90.00
_cell_angle_gamma 90.00
_symmetry_space_group_name_H-M 'A m m 2'
_symmetry_Int_Tables_number 38
_symmetry_space_group_name_Hall 'A 2 -2'
loop_
_atom_site_label
_atom_site_fract_x
_atom_site_fract_y
_atom_site_fract_z
Zn1 0.000 0.000 0.000
Os1 0.000 0.000 0.196
Os2 0.500 0.000 0.601
Pb1 0.500 0.000 0.829
```

Output
Formation enthalpy at 0 K = 0.362 eV/atom
Magnetic moment = 0.000 μB per cell
Energy = -6.50 eV per atom



(3)
ZnOs2Pb | GGA-PBE | optimized geometry

CIF file:
```
data_ZnOs2Pb
_cell_length_a 2.933
_cell_length_b 2.933
_cell_length_c 8.679
_cell_angle_alpha 90.00
_cell_angle_beta 90.00
_cell_angle_gamma 90.00
_symmetry_space_group_name_H-M 'P 4 m m'
_symmetry_Int_Tables_number 99
_symmetry_space_group_name_Hall 'P 4 -2'
loop_
_atom_site_label
_atom_site_fract_x
_atom_site_fract_y
_atom_site_fract_z
Zn1 0.000 0.000 0.000
Os1 0.000 0.000 0.382
Os2 0.500 0.500 0.196
Pb1 0.500 0.500 0.643
```

Output
Formation enthalpy at 0 K = 0.385 eV/atom
Magnetic moment = 0.000 μB per cell
Energy = -6.48 eV per atom



(4)
ZnOs2Pb | GGA-PBE | optimized geometry

CIF file:
```
data_ZnOs2Pb
_cell_length_a 2.992
_cell_length_b 4.557
_cell_length_c 4.960
_cell_angle_alpha 90.00
_cell_angle_beta 90.00
_cell_angle_gamma 90.00
_symmetry_space_group_name_H-M 'P m m m'
_symmetry_Int_Tables_number 47
_symmetry_space_group_name_Hall '-P 2 2'
loop_
_atom_site_label
_atom_site_fract_x
_atom_site_fract_y
_atom_site_fract_z
Zn1 0.000 0.000 0.000
Os1 0.000 0.500 0.500
Os2 0.500 0.500 0.000
Pb1 0.500 0.000 0.500
```

Output
Formation enthalpy at 0 K = 0.899 eV/atom
Magnetic moment = 0.000 μB per cell
Energy = -5.96 eV per atom



no.,distance to the lowest polymorph of the same formula (meV per atom)
1,513.7
2,0.0
3,23.4
4,537.3